A plane-wave DFT calculation with PBE-GGA was carried out for crystalline TbSmAu2 at its relaxed geometry.

Computed properties:
Crystal system: trigonal
Formation enthalpy at 0 K, eV per atom: -0.704

Lattice parameters (Å, degrees): 4.304 4.304 7.233 72.69 72.69 60.00
Sites, in units of the cell vectors:
Au 0.747 0.747 0.758
Au 0.253 0.253 0.242
Tb 0.000 0.000 0.000
Sm 0.500 0.500 0.500

---

A plane-wave DFT calculation with PBE-GGA was carried out for crystalline Y2CuHg at its relaxed geometry.

Computed properties:
Crystal system: orthorhombic
Formation enthalpy at 0 K, eV per atom: -0.228

Lattice parameters (Å, degrees): 6.242 6.242 6.242 147.17 133.56 58.03
Sites, in units of the cell vectors:
Cu 0.490 0.490 0.000
Y 0.002 0.002 0.000
Y 0.717 0.217 0.500
Hg 0.291 0.791 0.500

---

A plane-wave DFT calculation with PBE-GGA was carried out for crystalline K3ZrSb2O9 at its relaxed geometry.

Computed properties:
Energy relative to the elements, uncorrected, eV/atom: -1.846
Crystal system: trigonal

Lattice parameters (Å, degrees): 5.783 5.783 7.088 90.00 90.00 120.00
Sites, in units of the cell vectors:
O 0.342 0.171 0.674
O 0.171 0.342 0.326
O 0.500 0.000 0.000
O 0.658 0.829 0.326
O 0.500 0.500 0.000
O 0.171 0.829 0.326
O 0.829 0.171 0.674
O 0.000 0.500 0.000
O 0.829 0.658 0.674
K 0.000 0.000 0.000
K 0.333 0.667 0.666
K 0.667 0.333 0.334
Sb 0.333 0.667 0.166
Sb 0.667 0.333 0.834
Zr 0.000 0.000 0.500

---

A plane-wave DFT calculation with PBE-GGA was carried out for crystalline KCdTcPt2 at its relaxed geometry.

Computed properties:
Crystal system: tetragonal
Formation enthalpy at 0 K, eV per atom: 0.503

Lattice parameters (Å, degrees): 4.880 5.325 4.880 90.00 90.00 90.00
Sites, in units of the cell vectors:
K 0.500 0.500 0.500
Pt 0.000 0.000 0.500
Pt 0.500 0.000 0.000
Tc 0.000 0.000 0.000
Cd 0.000 0.500 0.000

---

| no. | calculated total energy (eV/cell) |
| --- | --- |
| 1 | -18.72 |
| 2 | -18.24 |
| 3 | -92.40 |
| 4 | -21.94 |